Entry from the Alexandria database: an optimized crystal structure of AsRhW2 (PBE).

Results
N(E_F)   2.25 states/eV per cell
Final energy   -9.3805 eV per atom
Calculated formation energy   0.10 eV/atom

Geometry as POSCAR:
```
AsRhW2
1.0
2.8134 0.0000 0.0000
0.0000 4.2214 0.0000
-1.1251 0.0000 5.1893
As Rh W
1 1 2
Direct
0.0000 0.0000 0.0000
0.1186 0.5000 0.2360
0.4388 0.5000 0.7572
0.7225 0.0000 0.4946
```

---

Entry from the Alexandria database: an optimized crystal structure of As2RhW2 (PBE).

Results
N(E_F)   2.24 states/eV per cell
Final energy   -8.0011 eV per atom
Calculated formation energy   0.51 eV/atom

Geometry as POSCAR:
```
As2RhW2
1.0
-2.1435 2.1435 4.7829
2.1435 -2.1435 4.7829
2.1435 2.1435 -4.7829
As Rh W
2 1 2
Direct
0.1200 0.1200 0.0000
0.8800 0.8800 0.0000
0.5000 0.5000 0.0000
0.2500 0.7500 0.5000
0.7500 0.2500 0.5000
```